No. 1
A relaxed MgAl2Zn crystal. Source: Alexandria, functional GGA-PBEsol.

a b c (Å): 2.881 2.881 8.118
angles (deg): 90.00 90.00 90.00
Element x y z (fractional)
Mg (0.000, 0.000, 0.000)
Al (0.000, 0.000, 0.476)
Al (0.500, 0.500, 0.726)
Zn (0.500, 0.500, 0.249)

Computed properties:
- E_form (kJ/mol of formula units) = 1
- space-group type = P4mm


No. 2
A relaxed MgAl2Zn crystal. Source: Alexandria, functional GGA-PBEsol.

a b c (Å): 3.156 3.156 6.900
angles (deg): 90.00 90.00 90.00
Element x y z (fractional)
Mg (0.000, 0.000, 0.000)
Al (0.000, 0.000, 0.474)
Al (0.500, 0.500, 0.715)
Zn (0.500, 0.500, 0.256)

Computed properties:
- E_form (kJ/mol of formula units) = 18
- space-group type = P4mm


No. 3
A relaxed MgAl2Zn crystal. Source: Alexandria, functional GGA-PBEsol.

a b c (Å): 2.943 3.941 5.867
angles (deg): 90.00 90.00 90.00
Element x y z (fractional)
Mg (0.000, 0.000, 0.000)
Al (0.000, 0.000, 0.491)
Al (0.500, 0.500, 0.726)
Zn (0.500, 0.500, 0.255)

Computed properties:
- E_form (kJ/mol of formula units) = 4
- space-group type = Pmm2


What is the formula in the second record? MgAl2Zn